This record from OQMD describes a relaxed TbHfAsO crystal. The functional is GGA-PBE.

a = 4.0558 Å, b = 4.0558 Å, c = 8.4937 Å
α = 90.00°, β = 90.00°, γ = 90.00°
Last column: nearest neighbours and their distance in Å.
Space group P4/nmm (No. 129, origin choice 2)
Symmetry-distinct sites (fractional):
Tb1 0.2500 0.7500 0.0000 (multiplicity 2)  4 Tb 2.87, 4 As 2.89
Hf1 0.2500 0.2500 0.3895 (multiplicity 2)  4 O 2.23
As1 0.2500 0.2500 0.7576 (multiplicity 2)  4 Tb 2.89, 4 O 2.98, 5 Hf 3.13
O1 0.2500 0.7500 0.5000 (multiplicity 2)  4 Hf 2.23

Results
Offset from the most stable computed form   489.5 meV per atom